## TlGa2Hg2 (SCAN)

Data for TlGa2Hg2 at its PBEsol-relaxed geometry.

Cell and atoms, written as extended XYZ:
```
10
Lattice="8.440 0.000 0.000 0.000 8.440 0.000 0.000 0.000 3.168" Properties=species:S:1:pos:R:3 pbc="T T T"
Tl 0.000 0.000 0.000
Tl 4.220 4.220 0.000
Ga 1.213 3.007 1.584
Ga 3.007 7.227 1.584
Ga 5.432 1.213 1.584
Ga 7.227 5.432 1.584
Hg 1.290 5.510 0.000
Hg 2.930 1.290 0.000
Hg 5.510 7.149 0.000
Hg 7.149 2.930 0.000
```

Calculated values
- Crystal system: tetragonal
- Volume: 22.56 Å³ per atom
- Raw total energy: -48.14 eV/atom
- Energy relative to the elements: 64 kJ/mol of formula units